No. 1
VASP calculation (PBE) on crystalline Mg2In8Ni at its relaxed geometry.

The density of states at the Fermi level comes out at 5.079 states/eV/cell. The value obtained for the energy is -31.3 eV/f.u. Its calculated volume is 263.0 Å³/cell.

Structure (CIF):
```
data_Mg2In8Ni
_cell_length_a 4.6029
_cell_length_b 4.6029
_cell_length_c 12.4148
_cell_angle_alpha 90.00
_cell_angle_beta 90.00
_cell_angle_gamma 90.00
_symmetry_space_group_name_H-M 'P 1'
_symmetry_Int_Tables_number 1
loop_
_symmetry_equiv_pos_as_xyz
'x,y,z'
loop_
_atom_site_label
_atom_site_type_symbol
_atom_site_fract_x
_atom_site_fract_y
_atom_site_fract_z
_atom_site_occupancy
Mg1 Mg 0.0000 0.0000 0.1876 1
Mg2 Mg 0.0000 0.0000 0.8124 1
In1 In 0.0000 0.5000 0.0000 1
In2 In 0.0000 0.5000 0.3778 1
In3 In 0.0000 0.5000 0.6222 1
In4 In 0.5000 0.0000 0.0000 1
In5 In 0.5000 0.0000 0.3778 1
In6 In 0.5000 0.0000 0.6222 1
In7 In 0.5000 0.5000 0.1945 1
In8 In 0.5000 0.5000 0.8055 1
Ni1 Ni 0.0000 0.0000 0.5000 1
```

No. 2
VASP calculation (PBE) on crystalline AlPdO2 at its relaxed geometry.

The density of states at the Fermi level comes out at 0.019 states/eV/cell. As for the energy relative to the elements, uncorrected: -1.526 eV/atom. Its calculated volume is 381.8 Å³/cell.

Structure (CIF):
```
data_AlPdO2
_cell_length_a 6.2649
_cell_length_b 6.2649
_cell_length_c 10.0192
_cell_angle_alpha 96.40
_cell_angle_beta 96.40
_cell_angle_gamma 99.72
_symmetry_space_group_name_H-M 'P 1'
_symmetry_Int_Tables_number 1
loop_
_symmetry_equiv_pos_as_xyz
'x,y,z'
loop_
_atom_site_label
_atom_site_type_symbol
_atom_site_fract_x
_atom_site_fract_y
_atom_site_fract_z
_atom_site_occupancy
Al1 Al 0.0637 0.3413 0.9264 1
Al2 Al 0.1187 0.6968 0.5975 1
Al3 Al 0.3032 0.8813 0.9025 1
Al4 Al 0.3413 0.0637 0.4264 1
Al5 Al 0.6587 0.9363 0.5736 1
Al6 Al 0.6968 0.1187 0.0975 1
Al7 Al 0.8813 0.3032 0.4025 1
Al8 Al 0.9363 0.6587 0.0736 1
Pd1 Pd 0.0436 0.1909 0.6803 1
Pd2 Pd 0.1909 0.0436 0.1803 1
Pd3 Pd 0.3573 0.4511 0.3364 1
Pd4 Pd 0.4511 0.3573 0.8364 1
Pd5 Pd 0.5489 0.6427 0.1636 1
Pd6 Pd 0.6427 0.5489 0.6636 1
Pd7 Pd 0.8091 0.9564 0.8197 1
Pd8 Pd 0.9564 0.8091 0.3197 1
O1 O 0.0767 0.5591 0.3920 1
O2 O 0.1014 0.8986 0.7500 1
O3 O 0.1274 0.6375 0.9520 1
O4 O 0.1576 0.2260 0.4815 1
O5 O 0.2260 0.1576 0.9815 1
O6 O 0.3625 0.8726 0.5480 1
O7 O 0.3734 0.6266 0.7500 1
O8 O 0.4409 0.9233 0.1080 1
O9 O 0.5591 0.0767 0.8920 1
O10 O 0.6266 0.3734 0.2500 1
O11 O 0.6375 0.1274 0.4520 1
O12 O 0.7740 0.8424 0.0185 1
O13 O 0.8424 0.7740 0.5185 1
O14 O 0.8726 0.3625 0.0480 1
O15 O 0.8986 0.1014 0.2500 1
O16 O 0.9233 0.4409 0.6080 1
```

No. 3
VASP calculation (PBE) on crystalline Pr4SBr5 at its relaxed geometry.

The density of states at the Fermi level comes out at 2.341 states/eV/cell. As for the energy relative to the elements, uncorrected: -1.718 eV/atom. Its calculated volume is 319.1 Å³/cell.

Structure (CIF):
```
data_Pr4SBr5
_cell_length_a 9.5238
_cell_length_b 9.5238
_cell_length_c 8.6211
_cell_angle_alpha 103.64
_cell_angle_beta 103.64
_cell_angle_gamma 24.86
_symmetry_space_group_name_H-M 'P 1'
_symmetry_Int_Tables_number 1
loop_
_symmetry_equiv_pos_as_xyz
'x,y,z'
loop_
_atom_site_label
_atom_site_type_symbol
_atom_site_fract_x
_atom_site_fract_y
_atom_site_fract_z
_atom_site_occupancy
Pr1 Pr 0.0013 0.0013 0.2821 1
Pr2 Pr 0.3500 0.3500 0.4236 1
Pr3 Pr 0.6500 0.6500 0.5764 1
Pr4 Pr 0.9987 0.9987 0.7179 1
S1 S 0.5000 0.5000 0.5000 1
Br1 Br 0.1648 0.1648 0.8388 1
Br2 Br 0.1727 0.1727 0.3257 1
Br3 Br 0.5000 0.5000 0.0000 1
Br4 Br 0.8273 0.8273 0.6743 1
Br5 Br 0.8352 0.8352 0.1612 1
```

No. 4
VASP calculation (PBE) on crystalline Sc2MoCl at its relaxed geometry.

The density of states at the Fermi level comes out at 3.011 states/eV/cell. For the energy above the most stable polymorph in this dataset, the calculation gives 15 meV/atom. As for the energy relative to the elements, uncorrected: -0.532 eV/atom. Its calculated volume is 76.7 Å³/cell.

Structure (CIF):
```
data_Sc2MoCl
_cell_length_a 3.1860
_cell_length_b 3.1860
_cell_length_c 8.4304
_cell_angle_alpha 101.06
_cell_angle_beta 101.06
_cell_angle_gamma 67.13
_symmetry_space_group_name_H-M 'P 1'
_symmetry_Int_Tables_number 1
loop_
_symmetry_equiv_pos_as_xyz
'x,y,z'
loop_
_atom_site_label
_atom_site_type_symbol
_atom_site_fract_x
_atom_site_fract_y
_atom_site_fract_z
_atom_site_occupancy
Sc1 Sc 0.0749 0.0749 0.2443 1
Sc2 Sc 0.9251 0.9251 0.7557 1
Mo1 Mo 0.5000 0.5000 0.0000 1
Cl1 Cl 0.5000 0.5000 0.5000 1
```

No. 5
VASP calculation (PBE) on crystalline RbLaFeRe2 at its relaxed geometry.

The density of states at the Fermi level comes out at 5.072 states/eV/cell. For the energy above the most stable polymorph in this dataset, the calculation gives 0 meV/atom. Its calculated volume is 116.2 Å³/cell.

Structure (CIF):
```
data_RbLaFeRe2
_cell_length_a 4.6320
_cell_length_b 4.6320
_cell_length_c 5.4161
_cell_angle_alpha 90.00
_cell_angle_beta 90.00
_cell_angle_gamma 90.00
_symmetry_space_group_name_H-M 'P 1'
_symmetry_Int_Tables_number 1
loop_
_symmetry_equiv_pos_as_xyz
'x,y,z'
loop_
_atom_site_label
_atom_site_type_symbol
_atom_site_fract_x
_atom_site_fract_y
_atom_site_fract_z
_atom_site_occupancy
Rb1 Rb 0.0000 0.0000 0.0000 1
La1 La 0.5000 0.5000 0.0000 1
Fe1 Fe 0.5000 0.5000 0.5000 1
Re1 Re 0.0000 0.5000 0.5000 1
Re2 Re 0.5000 0.0000 0.5000 1
```

No. 6
VASP calculation (PBE) on crystalline GaFeRe2As at its relaxed geometry.

The density of states at the Fermi level comes out at 8.534 states/eV/cell. The value obtained for the energy is -29.6 eV/f.u. Its calculated volume is 96.3 Å³/cell.

Structure (CIF):
```
data_GaFeRe2As
_cell_length_a 4.5701
_cell_length_b 4.5701
_cell_length_c 4.6092
_cell_angle_alpha 90.00
_cell_angle_beta 90.00
_cell_angle_gamma 90.00
_symmetry_space_group_name_H-M 'P 1'
_symmetry_Int_Tables_number 1
loop_
_symmetry_equiv_pos_as_xyz
'x,y,z'
loop_
_atom_site_label
_atom_site_type_symbol
_atom_site_fract_x
_atom_site_fract_y
_atom_site_fract_z
_atom_site_occupancy
Ga1 Ga 0.0000 0.0000 0.0000 1
Fe1 Fe 0.5000 0.5000 0.5000 1
Re1 Re 0.0000 0.5000 0.0000 1
Re2 Re 0.5000 0.0000 0.0000 1
As1 As 0.0000 0.0000 0.5000 1
```

No. 7
VASP calculation (PBE) on crystalline Ho7CdGa5 at its relaxed geometry.

The density of states at the Fermi level comes out at 9.123 states/eV/cell. The value obtained for the energy is -52.8 eV/f.u. Its calculated volume is 320.1 Å³/cell.

Structure (CIF):
```
data_Ho7CdGa5
_cell_length_a 7.8260
_cell_length_b 7.8260
_cell_length_c 7.8260
_cell_angle_alpha 133.32
_cell_angle_beta 99.88
_cell_angle_gamma 98.18
_symmetry_space_group_name_H-M 'P 1'
_symmetry_Int_Tables_number 1
loop_
_symmetry_equiv_pos_as_xyz
'x,y,z'
loop_
_atom_site_label
_atom_site_type_symbol
_atom_site_fract_x
_atom_site_fract_y
_atom_site_fract_z
_atom_site_occupancy
Ho1 Ho 0.0000 0.0000 0.0000 1
Ho2 Ho 0.3281 0.6509 0.6772 1
Ho3 Ho 0.3631 0.3631 0.0000 1
Ho4 Ho 0.4445 0.1233 0.3213 1
Ho5 Ho 0.8020 0.1233 0.6787 1
Ho6 Ho 0.8717 0.3717 0.5000 1
Ho7 Ho 0.9737 0.6509 0.3228 1
Cd1 Cd 0.6828 0.6828 0.0000 1
Ga1 Ga 0.1347 0.1351 0.4883 1
Ga2 Ga 0.1347 0.6464 0.9996 1
Ga3 Ga 0.3852 0.8852 0.5000 1
Ga4 Ga 0.6468 0.1351 0.0004 1
Ga5 Ga 0.6468 0.6464 0.5117 1
```

No. 8
VASP calculation (PBE) on crystalline TlTeO2 at its relaxed geometry.

The density of states at the Fermi level comes out at 1.687 states/eV/cell. For the energy above the most stable polymorph in this dataset, the calculation gives 259 meV/atom. As for the energy relative to the elements, uncorrected: -0.506 eV/atom. Its calculated volume is 78.4 Å³/cell.

Structure (CIF):
```
data_TlTeO2
_cell_length_a 7.6830
_cell_length_b 7.6830
_cell_length_c 7.6830
_cell_angle_alpha 26.30
_cell_angle_beta 26.30
_cell_angle_gamma 26.30
_symmetry_space_group_name_H-M 'P 1'
_symmetry_Int_Tables_number 1
loop_
_symmetry_equiv_pos_as_xyz
'x,y,z'
loop_
_atom_site_label
_atom_site_type_symbol
_atom_site_fract_x
_atom_site_fract_y
_atom_site_fract_z
_atom_site_occupancy
Tl1 Tl 0.0000 0.0000 0.0000 1
Te1 Te 0.5000 0.5000 0.5000 1
O1 O 0.1199 0.1199 0.1199 1
O2 O 0.8801 0.8801 0.8801 1
```

> Look up the calculated volume of the sixth one.

96.3 Å³/cell

> Among the records above, which one has the lowest calculated volume?

Sc2MoCl

> Which value of calculated volume does entry 6 give?

96.3 Å³/cell

Please write out number 6 again, unchanged.
VASP calculation (PBE) on crystalline GaFeRe2As at its relaxed geometry.

The density of states at the Fermi level comes out at 8.534 states/eV/cell. The value obtained for the energy is -29.6 eV/f.u. Its calculated volume is 96.3 Å³/cell.

Structure (CIF):
```
data_GaFeRe2As
_cell_length_a 4.5701
_cell_length_b 4.5701
_cell_length_c 4.6092
_cell_angle_alpha 90.00
_cell_angle_beta 90.00
_cell_angle_gamma 90.00
_symmetry_space_group_name_H-M 'P 1'
_symmetry_Int_Tables_number 1
loop_
_symmetry_equiv_pos_as_xyz
'x,y,z'
loop_
_atom_site_label
_atom_site_type_symbol
_atom_site_fract_x
_atom_site_fract_y
_atom_site_fract_z
_atom_site_occupancy
Ga1 Ga 0.0000 0.0000 0.0000 1
Fe1 Fe 0.5000 0.5000 0.5000 1
Re1 Re 0.0000 0.5000 0.0000 1
Re2 Re 0.5000 0.0000 0.0000 1
As1 As 0.0000 0.0000 0.5000 1
```